No. 1
DFT (meta-GGA SCAN) results for a crystal of InNiN2 relaxed with PBEsol.

Values from the calculation:
**Symmetry**: R-3m

a b c (Å): 2.941 2.941 6.374
angles (deg): 76.66 76.66 60.00
Element x y z (fractional)
Ni 0.500 0.500 0.500
N 0.118 0.118 0.647
N 0.882 0.882 0.353
In 0.000 0.000 0.000

***

No. 2
DFT (meta-GGA SCAN) results for a crystal of InNiN2O relaxed with PBEsol.

Values from the calculation:
**Symmetry**: P4/mmm

a b c (Å): 4.103 4.158 4.158
angles (deg): 90.00 90.00 90.00
Site moments in Bohr magnetons follow the coordinates.
Element x y z (fractional)
N 0.000 0.000 0.500  1.13
N 0.000 0.500 0.000  1.13
O 0.500 0.000 0.000  0.46
In 0.000 0.000 0.000  0.01
Ni 0.500 0.500 0.500  1.43

***

One value per record, in order, for formation energy without anion corrections: 496; 1405 meV per atom.
One value per record, in order, for VASP energy: -66.2; -67.4 eV/f.u..
One value per record, in order, for M_tot: 0.00; 5.00 Bohr magnetons per cell.